Computed, not measured: a geometry-optimized TaNbMo structure at the GGA-PBE level of DFT.

Cell: 4.4223 4.4223 4.4223 Å, 60.00 60.00 60.00°
Sites, in units of the cell vectors:
Ta1 0.7500 0.7500 0.7500
Nb1 0.2500 0.2500 0.2500
Mo1 0.0000 0.0000 0.0000

Its uncorrected energy is -0.3782 Ha/atom. The value obtained for the energy above the most stable polymorph in this dataset is 626 meV/atom. Its total moment is 0.00 μB per atom. For the calculated formation energy, the calculation gives 0.639 eV per atom.